# 1
An optimized crystal structure of AlFe2Cl, computed with GGA-PBE.

```
AlFe2Cl
1.0
-3.403 3.403 2.641
3.403 -3.403 2.641
3.403 3.403 -2.641
Al Fe Cl
2 4 2
Cartesian
0.000 0.000 0.000
0.000 3.403 1.320
1.701 -1.469 1.980
1.934 1.701 0.660
1.701 4.871 -0.660
1.469 1.701 3.301
3.403 0.000 1.320
0.000 0.000 2.641
```

Calculated values
- uncorrected formation energy (meV per atom) = 505
- relative energy among the computed polymorphs (meV per atom) = 502
- magnetization (μB per formula unit) = 5.5
- space-group type = I-42d, No. 122


# 2
An optimized crystal structure of Al2FeCl, computed with GGA-PBE.

```
Al2FeCl
1.0
4.875 0.000 0.000
0.000 4.875 0.000
0.000 0.000 2.757
Al Fe Cl
2 1 1
Cartesian
0.000 2.438 0.000
2.438 0.000 0.000
0.000 0.000 1.378
2.438 2.438 0.000
```

Calculated values
- uncorrected formation energy (meV per atom) = -52
- relative energy among the computed polymorphs (meV per atom) = 177
- magnetization (μB per formula unit) = 2.3
- space-group type = P4/mmm, No. 123


# 3
An optimized crystal structure of AlFe2Cl, computed with GGA-PBE.

```
AlFe2Cl
1.0
1.437 0.829 7.885
-1.437 0.829 7.885
0.000 -1.659 7.885
Al Fe Cl
1 2 1
Cartesian
0.000 0.000 0.000
0.000 0.000 5.863
0.000 0.000 17.792
0.000 0.000 11.827
```

Calculated values
- uncorrected formation energy (meV per atom) = 126
- relative energy among the computed polymorphs (meV per atom) = 122
- magnetization (μB per formula unit) = 5.1
- space-group type = R-3m, No. 166


# 4
An optimized crystal structure of AlFe2Cl, computed with GGA-PBE.

```
AlFe2Cl
1.0
2.849 0.000 0.000
0.000 3.536 0.000
0.000 0.000 6.362
Al Fe Cl
1 2 1
Cartesian
0.000 0.000 0.000
1.425 1.768 1.196
1.425 1.768 5.167
0.000 1.768 3.181
```

Calculated values
- uncorrected formation energy (meV per atom) = 3
- relative energy among the computed polymorphs (meV per atom) = 0
- magnetization (μB per formula unit) = 4.7
- space-group type = Pmmm, No. 47


# 5
An optimized crystal structure of Al2FeCl, computed with GGA-PBE.

```
Al2FeCl
1.0
2.959 0.000 0.000
0.000 2.959 0.000
0.000 0.000 7.669
Al Fe Cl
2 1 1
Cartesian
0.000 0.000 0.000
1.480 1.480 1.912
1.480 1.480 6.139
0.000 0.000 4.600
```

Calculated values
- uncorrected formation energy (meV per atom) = 51
- relative energy among the computed polymorphs (meV per atom) = 280
- magnetization (μB per formula unit) = 2.4
- space-group type = P4mm, No. 99


# 6
An optimized crystal structure of AlFe2Cl, computed with GGA-PBE.

```
AlFe2Cl
1.0
5.078 -1.432 0.000
5.078 1.432 0.000
-0.918 0.000 4.172
Al Fe Cl
1 2 1
Cartesian
0.000 0.000 0.000
1.788 0.000 3.524
5.294 0.000 2.304
7.467 0.000 1.439
```

Calculated values
- uncorrected formation energy (meV per atom) = 287
- relative energy among the computed polymorphs (meV per atom) = 284
- magnetization (μB per formula unit) = 5.0
- space-group type = Cm, No. 8


# 7
An optimized crystal structure of AlFe2Cl, computed with GGA-PBE.

```
AlFe2Cl
1.0
4.455 0.000 0.000
0.000 4.455 0.000
0.000 0.000 2.879
Al Fe Cl
1 2 1
Cartesian
0.000 0.000 0.000
0.000 2.228 1.439
2.228 0.000 1.439
2.228 2.228 0.000
```

Calculated values
- uncorrected formation energy (meV per atom) = 406
- relative energy among the computed polymorphs (meV per atom) = 403
- magnetization (μB per formula unit) = 4.9
- space-group type = P4/mmm, No. 123


# 8
An optimized crystal structure of Al2FeCl, computed with GGA-PBE.

```
Al2FeCl
1.0
1.480 0.855 9.981
-1.480 0.855 9.981
0.000 -1.709 9.981
Al Fe Cl
2 1 1
Cartesian
0.000 0.000 0.000
0.000 0.000 7.664
0.000 0.000 15.651
0.000 0.000 24.014
```

Calculated values
- uncorrected formation energy (meV per atom) = -74
- relative energy among the computed polymorphs (meV per atom) = 155
- magnetization (μB per formula unit) = 2.9
- space-group type = R3m, No. 160


# 9
An optimized crystal structure of Al2FeCl, computed with GGA-PBE.

```
Al2FeCl
1.0
-1.826 1.826 5.505
1.826 -1.826 5.505
1.826 1.826 -5.505
Al Fe Cl
2 1 1
Cartesian
0.000 0.000 0.000
0.000 1.826 2.753
0.000 0.000 5.505
1.826 0.000 2.753
```

Calculated values
- uncorrected formation energy (meV per atom) = 418
- relative energy among the computed polymorphs (meV per atom) = 647
- magnetization (μB per formula unit) = 2.6
- space-group type = I-4m2, No. 119


# 10
An optimized crystal structure of AlFe2Cl, computed with GGA-PBE.

```
AlFe2Cl
1.0
2.634 -4.120 0.000
2.634 4.120 0.000
-0.904 0.000 2.684
Al Fe Cl
1 2 1
Cartesian
0.000 0.000 0.000
0.865 2.060 1.342
0.865 -2.060 1.342
2.634 0.000 0.000
```

Calculated values
- uncorrected formation energy (meV per atom) = 356
- relative energy among the computed polymorphs (meV per atom) = 353
- magnetization (μB per formula unit) = 5.4
- space-group type = C2/m, No. 12


# 11
An optimized crystal structure of AlFe2Cl, computed with GGA-PBE.

```
AlFe2Cl
1.0
-1.478 2.008 5.554
1.478 -2.008 5.554
1.478 2.008 -5.554
Al Fe Cl
1 2 1
Cartesian
0.000 0.000 0.000
0.000 0.000 5.116
0.000 2.008 1.421
1.478 0.000 3.040
```

Calculated values
- uncorrected formation energy (meV per atom) = 132
- relative energy among the computed polymorphs (meV per atom) = 129
- magnetization (μB per formula unit) = 4.7
- space-group type = Imm2, No. 44


# 12
An optimized crystal structure of AlFe2Cl, computed with GGA-PBE.

```
AlFe2Cl
1.0
2.800 0.000 0.000
0.000 4.282 0.000
0.000 0.000 4.910
Al Fe Cl
1 2 1
Cartesian
0.000 0.000 0.000
0.000 2.141 2.455
1.400 2.141 0.000
1.400 0.000 2.455
```

Calculated values
- uncorrected formation energy (meV per atom) = 316
- relative energy among the computed polymorphs (meV per atom) = 313
- magnetization (μB per formula unit) = 5.2
- space-group type = Pmmm, No. 47


# 13
An optimized crystal structure of Al2FeCl, computed with GGA-PBE.

```
Al2FeCl
1.0
-3.505 3.505 2.920
3.505 -3.505 2.920
3.505 3.505 -2.920
Al Fe Cl
4 2 2
Cartesian
5.258 1.594 -0.730
1.594 1.753 0.730
-1.753 1.911 2.190
1.911 1.753 3.650
0.000 0.000 0.000
0.000 3.505 1.460
3.505 0.000 1.460
0.000 0.000 2.920
```

Calculated values
- uncorrected formation energy (meV per atom) = 345
- relative energy among the computed polymorphs (meV per atom) = 573
- magnetization (μB per formula unit) = 2.2
- space-group type = I-42d, No. 122


# 14
An optimized crystal structure of Al2FeCl, computed with GGA-PBE.

```
Al2FeCl
1.0
-1.486 1.597 7.959
1.486 -1.597 7.959
1.486 1.597 -7.959
Al Fe Cl
2 1 1
Cartesian
0.000 0.000 0.000
0.000 1.597 2.755
0.000 0.000 8.879
1.486 0.000 4.395
```

Calculated values
- uncorrected formation energy (meV per atom) = -92
- relative energy among the computed polymorphs (meV per atom) = 136
- magnetization (μB per formula unit) = 0.0
- space-group type = Imm2, No. 44


# 15
An optimized crystal structure of MgAlFeCl, computed with GGA-PBE.

```
MgAlFeCl
1.0
4.289 -1.531 0.000
4.289 1.531 0.000
-0.727 0.000 6.351
Mg Al Fe Cl
1 1 1 1
Cartesian
0.000 0.000 0.000
1.654 0.000 4.619
4.044 0.000 4.191
3.753 0.000 1.882
```

Calculated values
- uncorrected formation energy (meV per atom) = -165
- relative energy among the computed polymorphs (meV per atom) = 198
- magnetization (μB per formula unit) = 1.8
- space-group type = Cm, No. 8


# 16
An optimized crystal structure of MgAlFeCl, computed with GGA-PBE.

```
MgAlFeCl
1.0
-1.559 1.862 6.369
1.559 -1.862 6.369
1.559 1.862 -6.369
Mg Al Fe Cl
1 1 1 1
Cartesian
0.000 0.000 0.000
0.000 1.862 2.211
1.559 0.000 2.237
1.559 0.000 4.714
```

Calculated values
- uncorrected formation energy (meV per atom) = -258
- relative energy among the computed polymorphs (meV per atom) = 105
- magnetization (μB per formula unit) = 1.1
- space-group type = Imm2, No. 44


# 17
An optimized crystal structure of MgAlFeCl, computed with GGA-PBE.

```
MgAlFeCl
1.0
3.876 0.000 0.000
0.000 3.019 0.000
-0.418 0.000 6.529
Mg Al Fe Cl
1 1 1 1
Cartesian
0.000 0.000 0.000
1.913 0.000 2.163
-0.031 1.510 2.231
0.015 1.510 4.664
```

Calculated values
- uncorrected formation energy (meV per atom) = -238
- relative energy among the computed polymorphs (meV per atom) = 125
- magnetization (μB per formula unit) = 0.9
- space-group type = Pm, No. 6


# 18
An optimized crystal structure of MgAlFeCl, computed with GGA-PBE.

```
MgAlFeCl
1.0
-1.521 1.521 7.166
1.521 -1.521 7.166
1.521 1.521 -7.166
Mg Al Fe Cl
1 1 1 1
Cartesian
0.000 0.000 0.000
0.000 0.000 11.398
0.000 0.000 5.414
0.000 0.000 8.940
```

Calculated values
- uncorrected formation energy (meV per atom) = -363
- relative energy among the computed polymorphs (meV per atom) = 0
- magnetization (μB per formula unit) = 0.9
- space-group type = I4mm, No. 107


# 19
An optimized crystal structure of MgAlFeCl, computed with GGA-PBE.

```
MgAlFeCl
1.0
2.999 0.000 0.000
1.496 4.531 0.000
1.478 1.709 5.095
Mg Al Fe Cl
1 1 1 1
Cartesian
0.000 0.000 0.000
2.997 2.480 1.793
2.995 5.027 2.218
4.493 4.168 3.971
```

Calculated values
- uncorrected formation energy (meV per atom) = -103
- relative energy among the computed polymorphs (meV per atom) = 259
- magnetization (μB per formula unit) = 2.0
- space-group type = P1, No. 1


# 20
An optimized crystal structure of MgAlFeCl, computed with GGA-PBE.

```
MgAlFeCl
1.0
3.046 0.000 0.000
1.515 2.863 0.000
1.517 -0.190 7.906
Mg Al Fe Cl
1 1 1 1
Cartesian
0.000 0.000 0.000
3.038 1.862 2.288
1.514 0.794 4.006
3.039 0.862 6.082
```

Calculated values
- uncorrected formation energy (meV per atom) = -141
- relative energy among the computed polymorphs (meV per atom) = 222
- magnetization (μB per formula unit) = 2.3
- space-group type = P1, No. 1


# 21
An optimized crystal structure of MgAlFeCl, computed with GGA-PBE.

```
MgAlFeCl
1.0
-1.645 1.645 6.250
1.645 -1.645 6.250
1.645 1.645 -6.250
Mg Al Fe Cl
1 1 1 1
Cartesian
0.000 0.000 0.000
0.000 0.000 4.200
0.000 0.000 9.970
0.000 0.000 7.571
```

Calculated values
- uncorrected formation energy (meV per atom) = -251
- relative energy among the computed polymorphs (meV per atom) = 112
- magnetization (μB per formula unit) = 0.0
- space-group type = I4mm, No. 107